No. 1
The following is a DFT calculation (PBE) of a relaxed structure of ZrScCd.

Output
E above lowest polymorph = 57 meV per atom
formation energy from the elements = -0.125 eV/atom
electronic total energy = -5.39 eV per atom

Unit cell a=3.2220 b=3.2220 c=13.1193 alpha=90.00 beta=90.00 gamma=90.00
Last column: nearest neighbours and their distance in Å.
Space group P4/nmm (No. 129, origin choice 2)
One atom of each set of equivalent atoms:
Zr  0.2500  0.2500  0.0873 (multiplicity 2)  4 Sc 3.17, 8 Zr 3.22-3.23
Sc  0.2500  0.2500  0.7446 (multiplicity 2)  4 Cd 3.14, 4 Zr 3.17, 4 Sc 3.22
Cd  0.2500  0.2500  0.4202 (multiplicity 2)  8 Cd 3.09-3.22, 4 Sc 3.14

=====

No. 2
The following is a DFT calculation (PBE) of a relaxed structure of ZrScCd.

Output
E above lowest polymorph = 153 meV per atom
formation energy from the elements = -0.029 eV/atom
electronic total energy = -5.29 eV per atom

Unit cell a=5.6565 b=8.9173 c=11.0368 alpha=90.00 beta=90.00 gamma=90.00
Last column: nearest neighbours and their distance in Å.
Space group Fmmm (No. 69)
One atom of each set of equivalent atoms:
Zr  0.0000  0.1642  0.0000 (multiplicity 8)  3 Zr 2.93-3.22, 4 Cd 3.19
Sc  0.0000  0.0000  0.3720 (multiplicity 8)  1 Sc 2.83, 4 Cd 2.96
Cd  0.2500  0.2500  0.2500 (multiplicity 8)  2 Cd 2.83, 4 Sc 2.96

=====

No. 3
The following is a DFT calculation (PBE) of a relaxed structure of Zr2ScCd8.

Output
formation energy from the elements = -0.078 eV/atom
electronic total energy = -2.87 eV per atom

Unit cell a=16.0204 b=4.5634 c=6.6533 alpha=90.00 beta=100.46 gamma=90.00
Last column: nearest neighbours and their distance in Å.
Space group C2/m (No. 12)
One atom of each set of equivalent atoms:
Zr  0.2289  0.0000  0.1492 (multiplicity 4)  10 Cd 3.04-3.23, 2 Zr 3.18
Sc  0.0000  0.5000  0.5000 (multiplicity 2)  12 Cd 3.03-3.27
Cd  0.0393  0.0000  0.2301 (multiplicity 4)  9 Cd 3.00-3.26, 2 Sc 3.04, 1 Zr 3.18
Cd  0.0930  0.5000  0.9718 (multiplicity 4)  8 Cd 2.98-3.24, 3 Zr 3.10-3.23, 1 Sc 3.22
Cd  0.1390  0.0000  0.6886 (multiplicity 4)  7 Cd 3.00-3.18, 3 Zr 3.14-3.17, 2 Sc 3.27
Cd  0.1788  0.5000  0.4092 (multiplicity 4)  8 Cd 2.98-3.30, 1 Sc 3.03, 3 Zr 3.04-3.06

=====

No. 4
The following is a DFT calculation (PBE) of a relaxed structure of ZrScCd.

Output
E above lowest polymorph = 0 meV per atom
formation energy from the elements = -0.183 eV/atom
electronic total energy = -5.45 eV per atom

Unit cell a=3.2483 b=3.2483 c=12.8869 alpha=90.00 beta=90.00 gamma=90.00
Last column: nearest neighbours and their distance in Å.
Space group I4mm (No. 107)
One atom of each set of equivalent atoms:
Zr  0.0000  0.0000  0.0000 (multiplicity 2)  4 Sc 3.13, 4 Cd 3.16, 4 Zr 3.25
Sc  0.0000  0.0000  0.6655 (multiplicity 2)  4 Zr 3.13, 4 Cd 3.14, 4 Sc 3.25
Cd  0.0000  0.0000  0.3313 (multiplicity 2)  4 Sc 3.14, 4 Zr 3.16, 4 Cd 3.25

=====

Result set for magnetization: 0.0; 0.0; 0.0; 0.0 μB/f.u., one per record in the order listed.